Entry from Alexandria via LeMat-Bulk: a geometry-optimized CaMg2 structure (PBEsol).

For the raw total energy, the calculation gives -23.77 eV/cell. As for the formation energy: -0.13 eV per atom.

Unit cell a=6.199 b=6.199 c=9.946 alpha=90.00 beta=90.00 gamma=120.00
Fractional coordinates of all 12 atoms:
Ca  0.333  0.667  0.062
Ca  0.333  0.667  0.438
Ca  0.667  0.333  0.562
Ca  0.667  0.333  0.938
Mg  0.000  0.000  0.000
Mg  0.000  0.000  0.500
Mg  0.169  0.338  0.750
Mg  0.169  0.831  0.750
Mg  0.338  0.169  0.250
Mg  0.662  0.831  0.750
Mg  0.831  0.169  0.250
Mg  0.831  0.662  0.250

---

Entry from Alexandria via LeMat-Bulk: a geometry-optimized LiZn5 structure (PBEsol).

Its energy above the most stable polymorph in this dataset is 0.17 eV/f.u. For the raw total energy, the calculation gives -10.44 eV/cell. As for the formation energy: -0.09 eV per atom.

Unit cell a=5.071 b=5.071 c=6.366 alpha=103.08 beta=103.08 gamma=31.23
Fractional coordinates of all 6 atoms:
Li  0.000  0.000  0.000
Zn  0.052  0.052  0.618
Zn  0.330  0.330  0.663
Zn  0.387  0.387  0.272
Zn  0.663  0.663  0.332
Zn  0.724  0.724  0.945

---

Entry from Alexandria via LeMat-Bulk: a geometry-optimized LiTl2In structure (PBEsol).

For the raw total energy, the calculation gives -10.60 eV/cell. As for the formation energy: -0.10 eV per atom.

Unit cell a=9.642 b=9.642 c=9.642 alpha=20.45 beta=20.45 gamma=20.45
Fractional coordinates of all 4 atoms:
Li  0.000  0.000  0.000
Tl  0.257  0.257  0.257
Tl  0.743  0.743  0.743
In  0.500  0.500  0.500

---

Entry from Alexandria via LeMat-Bulk: a geometry-optimized ZnCuP4O12 structure (PBEsol).

The calculation puts the formation energy (no corrections) at -1.90 eV/atom. For the raw total energy, the calculation gives -252.38 eV/cell.

Unit cell a=7.323 b=7.323 c=9.682 alpha=113.57 beta=113.57 gamma=68.05
Fractional coordinates of all 36 atoms:
Zn  0.057  0.943  0.750
Zn  0.943  0.057  0.250
Cu  0.000  0.500  0.500
Cu  0.500  0.000  0.000
P  0.254  0.729  0.026
P  0.271  0.746  0.474
P  0.301  0.306  0.805
P  0.306  0.301  0.305
P  0.694  0.699  0.695
P  0.699  0.694  0.195
P  0.729  0.254  0.526
P  0.746  0.271  0.974
O  0.077  0.845  0.090
O  0.116  0.292  0.328
O  0.155  0.923  0.410
O  0.177  0.340  0.649
O  0.207  0.714  0.591
O  0.241  0.493  0.950
O  0.286  0.793  0.909
O  0.290  0.536  0.331
O  0.292  0.116  0.828
O  0.340  0.177  0.149
O  0.464  0.710  0.169
O  0.493  0.241  0.450
O  0.507  0.759  0.550
O  0.536  0.290  0.831
O  0.660  0.823  0.851
O  0.708  0.884  0.172
O  0.710  0.464  0.669
O  0.714  0.207  0.091
O  0.759  0.507  0.050
O  0.793  0.286  0.409
O  0.823  0.660  0.351
O  0.845  0.077  0.590
O  0.884  0.708  0.672
O  0.923  0.155  0.910

---

Entry from Alexandria via LeMat-Bulk: a geometry-optimized SrMg2 structure (PBEsol).

For the raw total energy, the calculation gives -10.81 eV/cell. As for the formation energy: -0.04 eV per atom.

Unit cell a=6.575 b=6.575 c=6.575 alpha=132.31 beta=101.72 gamma=97.11
Fractional coordinates of all 6 atoms:
Sr  0.304  0.054  0.250
Sr  0.696  0.946  0.750
Mg  0.101  0.664  0.437
Mg  0.273  0.336  0.937
Mg  0.727  0.664  0.063
Mg  0.899  0.336  0.563

---

Entry from Alexandria via LeMat-Bulk: a geometry-optimized BaLaPb2 structure (PBEsol).

For the raw total energy, the calculation gives -17.82 eV/cell. As for the formation energy: -0.58 eV per atom.

Unit cell a=3.740 b=4.703 c=7.577 alpha=90.00 beta=90.00 gamma=90.00
Fractional coordinates of all 4 atoms:
Ba  0.000  0.000  0.000
La  0.000  0.000  0.500
Pb  0.500  0.500  0.281
Pb  0.500  0.500  0.719

---

Entry from Alexandria via LeMat-Bulk: a geometry-optimized BeAgSb2 structure (PBEsol).

The calculation puts the formation energy (no corrections) at 0.38 eV/atom. For the raw total energy, the calculation gives -14.91 eV/cell.

Unit cell a=3.264 b=3.264 c=7.872 alpha=90.00 beta=90.00 gamma=106.75
Fractional coordinates of all 4 atoms:
Be  0.000  0.000  0.000
Ag  0.000  0.000  0.500
Sb  0.500  0.500  0.218
Sb  0.500  0.500  0.782

---

Entry from Alexandria via LeMat-Bulk: a geometry-optimized MgNiPb2 structure (PBEsol).

For the raw total energy, the calculation gives -14.57 eV/cell. As for the formation energy: 0.33 eV per atom.

Unit cell a=4.982 b=4.982 c=4.982 alpha=60.00 beta=60.00 gamma=60.00
Fractional coordinates of all 4 atoms:
Mg  0.000  0.000  0.000
Ni  0.250  0.250  0.250
Pb  0.500  0.500  0.500
Pb  0.750  0.750  0.750

---

Entry from Alexandria via LeMat-Bulk: a geometry-optimized KCoAs2Br structure (PBEsol).

The calculation puts the formation energy (no corrections) at 1.78 eV/atom. For the raw total energy, the calculation gives -12.07 eV/cell.

Unit cell a=5.490 b=5.490 c=5.502 alpha=90.00 beta=90.00 gamma=90.00
Fractional coordinates of all 5 atoms:
K  0.000  0.000  0.000
Co  0.500  0.500  0.500
As  0.000  0.500  0.000
As  0.500  0.000  0.000
Br  0.000  0.000  0.500

---

Entry from Alexandria via LeMat-Bulk: a geometry-optimized Li2ZrCl structure (PBEsol).

The calculation puts the formation energy (no corrections) at -0.18 eV/atom. Its energy above the most stable polymorph in this dataset is 1.15 eV/f.u. For the raw total energy, the calculation gives -31.51 eV/cell.

Unit cell a=5.860 b=5.860 c=5.860 alpha=100.76 beta=100.76 gamma=128.79
Fractional coordinates of all 8 atoms:
Li  0.052  0.125  0.427
Li  0.375  0.948  0.073
Li  0.698  0.625  0.573
Li  0.875  0.302  0.927
Zr  0.250  0.750  0.500
Zr  0.500  0.500  0.000
Cl  0.000  0.000  0.000
Cl  0.750  0.250  0.500

---

Entry from Alexandria via LeMat-Bulk: a geometry-optimized ZrRuPb2Cl structure (PBEsol).

The calculation puts the formation energy (no corrections) at 0.66 eV/atom. For the raw total energy, the calculation gives -25.96 eV/cell.

Unit cell a=5.324 b=5.324 c=4.335 alpha=90.00 beta=90.00 gamma=90.00
Fractional coordinates of all 5 atoms:
Zr  0.000  0.000  0.000
Ru  0.500  0.500  0.500
Pb  0.000  0.500  0.500
Pb  0.500  0.000  0.500
Cl  0.500  0.500  0.000

---

Entry from Alexandria via LeMat-Bulk: a geometry-optimized Zr2IrW structure (PBEsol).

For the raw total energy, the calculation gives -42.35 eV/cell. As for the formation energy: -0.14 eV per atom.

Unit cell a=5.295 b=5.295 c=5.295 alpha=143.54 beta=126.44 gamma=66.53
Fractional coordinates of all 4 atoms:
Zr  0.247  0.247  0.000
Zr  0.753  0.753  0.000
Ir  0.000  0.500  0.500
W  0.500  0.000  0.500

---

Entry from Alexandria via LeMat-Bulk: a geometry-optimized NiGe3Bi structure (PBEsol).

For the raw total energy, the calculation gives -24.59 eV/cell. As for the formation energy: 0.13 eV per atom.

Unit cell a=4.643 b=4.643 c=4.643 alpha=90.00 beta=90.00 gamma=90.00
Fractional coordinates of all 5 atoms:
Ni  0.000  0.000  0.000
Ge  0.000  0.000  0.500
Ge  0.000  0.500  0.000
Ge  0.500  0.000  0.000
Bi  0.500  0.500  0.500

---

Entry from Alexandria via LeMat-Bulk: a geometry-optimized CdHg2Os structure (PBEsol).

For the raw total energy, the calculation gives -12.37 eV/cell. As for the formation energy: 0.54 eV per atom.

Unit cell a=2.834 b=2.834 c=11.237 alpha=90.00 beta=90.00 gamma=119.66
Fractional coordinates of all 4 atoms:
Cd  0.000  0.000  0.000
Hg  0.000  0.000  0.439
Hg  0.500  0.500  0.725
Os  0.500  0.500  0.216

---

Entry from Alexandria via LeMat-Bulk: a geometry-optimized HPt2Au2 structure (PBEsol).

For the raw total energy, the calculation gives -49.06 eV/cell.

Unit cell a=5.312 b=5.312 c=4.960 alpha=90.00 beta=90.00 gamma=90.00
Fractional coordinates of all 10 atoms:
H  0.000  0.000  0.000
H  0.500  0.500  0.000
Pt  0.178  0.322  0.000
Pt  0.322  0.822  0.000
Pt  0.678  0.178  0.000
Pt  0.822  0.678  0.000
Au  0.178  0.678  0.500
Au  0.322  0.178  0.500
Au  0.678  0.822  0.500
Au  0.822  0.322  0.500

---

Entry from Alexandria via LeMat-Bulk: a geometry-optimized FeBrCl2 structure (PBEsol).

The calculation puts the formation energy (no corrections) at -0.20 eV/atom. Its energy above the most stable polymorph in this dataset is 1.33 eV/f.u. For the raw total energy, the calculation gives -15.64 eV/cell.

Unit cell a=2.985 b=2.985 c=9.593 alpha=90.00 beta=90.00 gamma=90.00
Fractional coordinates of all 4 atoms:
Fe  0.000  0.000  0.000
Br  0.000  0.000  0.500
Cl  0.500  0.500  0.154
Cl  0.500  0.500  0.846

---

Entry from Alexandria via LeMat-Bulk: a geometry-optimized Cs2RbBiCl6 structure (PBEsol).

The calculation puts the formation energy (no corrections) at -1.60 eV/atom. For the raw total energy, the calculation gives -35.20 eV/cell.

Unit cell a=8.103 b=8.103 c=8.103 alpha=60.00 beta=60.00 gamma=60.00
Fractional coordinates of all 10 atoms:
Cs  0.250  0.250  0.250
Cs  0.750  0.750  0.750
Rb  0.000  0.000  0.000
Bi  0.500  0.500  0.500
Cl  0.266  0.266  0.734
Cl  0.266  0.734  0.266
Cl  0.266  0.734  0.734
Cl  0.734  0.266  0.266
Cl  0.734  0.266  0.734
Cl  0.734  0.734  0.266

---

Entry from Alexandria via LeMat-Bulk: a geometry-optimized BaIn8 structure (PBEsol).

For the raw total energy, the calculation gives -27.49 eV/cell. As for the formation energy: -0.16 eV per atom.

Unit cell a=7.481 b=7.481 c=7.481 alpha=96.19 beta=96.19 gamma=141.66
Fractional coordinates of all 9 atoms:
Ba  0.000  0.000  0.000
In  0.000  0.348  0.348
In  0.000  0.652  0.652
In  0.318  0.318  0.636
In  0.318  0.682  0.000
In  0.348  0.000  0.348
In  0.652  0.000  0.652
In  0.682  0.318  0.000
In  0.682  0.682  0.364

---

Entry from Alexandria via LeMat-Bulk: a geometry-optimized BeAsP2 structure (PBEsol).

Its energy above the most stable polymorph in this dataset is 2.07 eV/f.u. For the raw total energy, the calculation gives -18.36 eV/cell. As for the formation energy: 0.58 eV per atom.

Unit cell a=4.307 b=4.307 c=3.040 alpha=90.00 beta=90.00 gamma=90.00
Fractional coordinates of all 4 atoms:
Be  0.000  0.000  0.000
As  0.500  0.500  0.000
P  0.000  0.500  0.500
P  0.500  0.000  0.500

---

Entry from Alexandria via LeMat-Bulk: a geometry-optimized KCoAsBr2 structure (PBEsol).

The calculation puts the formation energy (no corrections) at 1.17 eV/atom. For the raw total energy, the calculation gives -11.87 eV/cell.

Unit cell a=5.809 b=5.809 c=5.910 alpha=90.00 beta=90.00 gamma=90.00
Fractional coordinates of all 5 atoms:
K  0.000  0.000  0.000
Co  0.500  0.500  0.500
As  0.000  0.000  0.500
Br  0.000  0.500  0.000
Br  0.500  0.000  0.000